Computed, not measured: an optimized crystal structure of CaCuP2Pd at the GGA-PBE level of DFT.

a b c (Å): 4.092 4.092 9.795
angles (deg): 90.00 90.00 90.00
Space group I-4m2 (No. 119)
One atom of each set of equivalent atoms:
Ca 0.000 0.000 0.000
Cu 0.000 0.500 0.750
P 0.000 0.000 0.386
Pd 0.000 0.500 0.250

Properties
- ΔH_f (0 K): -717 meV per atom
- VASP energy: -5.1390 eV/atom
- DOS(E_F): 0.18 states/eV per atom
- Volume: 16.4 Å³ per atom

Computed, not measured: an optimized crystal structure of AlFeSeBr2 at the GGA-PBE level of DFT.

a b c (Å): 4.988 4.988 5.078
angles (deg): 90.00 90.00 90.00
Space group P4/mmm (No. 123)
One atom of each set of equivalent atoms:
Al 0.000 0.000 0.000
Fe 0.500 0.500 0.500
Se 0.000 0.000 0.500
Br 0.000 0.500 0.000

Properties
- VASP energy: -3.5680 eV/atom
- DOS(E_F): 1.65 states/eV per atom
- Volume: 25.3 Å³ per atom
- Excess energy over the best structure of this formula in the dataset: 0.083 eV/atom
- Raw formation energy: 0.239 eV per atom

Computed, not measured: an optimized crystal structure of DyY12Er2 at the GGA-PBE level of DFT.

a b c (Å): 6.408 6.408 25.113
angles (deg): 90.00 90.00 90.00
Space group P4/nbm (No. 125, origin choice 2)
One atom of each set of equivalent atoms:
Dy 0.250 0.750 0.000
Y 0.066 0.566 0.115
Y 0.081 0.581 0.439
Y 0.250 0.250 0.215
Y 0.250 0.250 0.339
Er 0.250 0.750 0.274

Properties
- ΔH_f (0 K): 348 meV per atom
- VASP energy: -5.7389 eV/atom
- DOS(E_F): 1.44 states/eV per atom
- Volume: 34.4 Å³ per atom

Computed, not measured: an optimized crystal structure of RbSb3Se5 at the GGA-PBE level of DFT.

a b c (Å): 22.289 4.115 12.620
angles (deg): 90.00 90.00 90.00
Space group Pnma (No. 62)
One atom of each set of equivalent atoms:
Rb 0.095 0.250 0.177
Sb 0.059 0.750 0.618
Sb 0.161 0.250 0.828
Sb 0.200 0.250 0.476
Se 0.038 0.250 0.776
Se 0.078 0.250 0.457
Se 0.161 0.750 0.980
Se 0.179 0.750 0.657
Se 0.206 0.750 0.328

Properties
- VASP energy: -3.8851 eV/atom
- Volume: 32.2 Å³ per atom
- Excess energy over the best structure of this formula in the dataset: 0.000 eV/atom
- Raw formation energy: -0.468 eV per atom

Computed, not measured: an optimized crystal structure of Y3Tm5Sc2 at the GGA-PBE level of DFT.

a b c (Å): 9.168 9.169 9.182
angles (deg): 106.62 106.61 115.29
Space group P-1 (No. 2)
One atom of each set of equivalent atoms:
Y 0.026 0.077 0.349
Y 0.178 0.527 0.452
Y 0.228 0.678 0.149
Tm 0.076 0.226 0.051
Tm 0.130 0.378 0.751
Tm 0.326 0.978 0.552
Tm 0.378 0.129 0.250
Tm 0.426 0.276 0.953
Sc 0.280 0.830 0.853
Sc 0.476 0.426 0.650

Properties
- ΔH_f (0 K): 47 meV per atom
- VASP energy: -5.3941 eV/atom
- DOS(E_F): 1.59 states/eV per atom
- Volume: 29.5 Å³ per atom

Computed, not measured: an optimized crystal structure of LiAl2Ga2 at the GGA-PBE level of DFT.

a b c (Å): 7.823 7.823 2.975
angles (deg): 90.00 90.00 90.00
Space group P4/mbm (No. 127)
One atom of each set of equivalent atoms:
Li 0.000 0.000 0.000
Al 0.128 0.372 0.000
Ga 0.169 0.669 0.500

Properties
- ΔH_f (0 K): -31 meV per atom
- VASP energy: -3.1211 eV/atom
- DOS(E_F): 0.27 states/eV per atom
- Volume: 18.2 Å³ per atom
- Excess energy over the best structure of this formula in the dataset: 0.082 eV/atom

Computed, not measured: an optimized crystal structure of AlZnPb2 at the GGA-PBE level of DFT.

a b c (Å): 3.2641 3.2641 32.5812
angles (deg): 90.00 90.00 120.00
Space group R3m (No. 160, hexagonal axes)
One atom of each set of equivalent atoms:
Al 0.0000 0.0000 0.0000
Zn 0.0000 0.0000 0.7282
Pb 0.0000 0.0000 0.2490
Pb 0.0000 0.0000 0.4736

Properties
- ΔH_f (0 K): 159 meV per atom
- VASP energy: -2.9492 eV/atom
- DOS(E_F): 0.23 states/eV per atom
- Volume: 25.1 Å³ per atom

Computed, not measured: an optimized crystal structure of Sr2TaTc at the GGA-PBE level of DFT.

a b c (Å): 3.2240 3.2240 32.7454
angles (deg): 90.00 90.00 120.00
Space group R-3m (No. 166, hexagonal axes)
One atom of each set of equivalent atoms:
Sr 0.0000 0.0000 0.2441
Ta 0.0000 0.0000 0.0000
Tc 0.0000 0.0000 0.5000

Properties
- ΔH_f (0 K): 1248 meV per atom
- VASP energy: -5.1477 eV/atom
- DOS(E_F): 1.17 states/eV per atom
- Volume: 24.6 Å³ per atom
- Excess energy over the best structure of this formula in the dataset: 0.919 eV/atom

Computed, not measured: an optimized crystal structure of Ac3LaY8 at the GGA-PBE level of DFT.

a b c (Å): 6.544 11.708 12.029
angles (deg): 90.00 90.00 90.00
Space group Immm (No. 71)
One atom of each set of equivalent atoms:
Ac 0.000 0.000 0.000
Ac 0.000 0.247 0.500
La 0.000 0.500 0.000
Y 0.000 0.251 0.177
Y 0.249 0.000 0.256

Properties
- ΔH_f (0 K): 252 meV per atom
- VASP energy: -5.4951 eV/atom
- DOS(E_F): 1.62 states/eV per atom
- Volume: 38.4 Å³ per atom

Computed, not measured: an optimized crystal structure of ZnRe2I2 at the GGA-PBE level of DFT.

a b c (Å): 4.179 4.179 15.281
angles (deg): 90.00 90.00 90.00
Space group I4/mmm (No. 139)
One atom of each set of equivalent atoms:
Zn 0.000 0.000 0.000
Re 0.000 0.500 0.250
I 0.000 0.000 0.355

Properties
- VASP energy: -4.6641 eV/atom
- DOS(E_F): 0.73 states/eV per atom
- Volume: 26.7 Å³ per atom
- Excess energy over the best structure of this formula in the dataset: 0.000 eV/atom
- Raw formation energy: 1.190 eV per atom

Computed, not measured: an optimized crystal structure of La2SeN at the GGA-PBE level of DFT.

a b c (Å): 3.9219 3.9219 20.7792
angles (deg): 90.00 90.00 120.00
Space group R-3m (No. 166, hexagonal axes)
One atom of each set of equivalent atoms:
La 0.0000 0.0000 0.2345
Se 0.0000 0.0000 0.0000
N 0.0000 0.0000 0.5000

Properties
- VASP energy: -7.0755 eV/atom
- DOS(E_F): 0.37 states/eV per atom
- Volume: 23.1 Å³ per atom
- Excess energy over the best structure of this formula in the dataset: 0.000 eV/atom
- Raw formation energy: -1.659 eV per atom

Computed, not measured: an optimized crystal structure of ErPuTlSb at the GGA-PBE level of DFT.

a b c (Å): 7.555 7.555 7.555
angles (deg): 90.00 90.00 90.00
Space group F-43m (No. 216)
One atom of each set of equivalent atoms:
Er 0.000 0.000 0.000
Pu 0.000 0.000 0.500
Tl 0.250 0.250 0.250
Sb 0.250 0.250 0.750

Properties
- VASP energy: -6.7017 eV/atom
- DOS(E_F): 2.90 states/eV per atom
- Volume: 26.9 Å³ per atom
- Raw formation energy: -0.356 eV per atom

Computed, not measured: an optimized crystal structure of CoW2Cl at the GGA-PBE level of DFT.

a b c (Å): 3.197 3.045 6.974
angles (deg): 90.00 90.86 90.00
Space group Pm (No. 6)
One atom of each set of equivalent atoms:
Co 0.000 0.000 0.000
W 0.006 0.000 0.606
W 0.493 0.500 0.829
Cl 0.999 0.500 0.317

Properties
- VASP energy: -8.3396 eV/atom
- DOS(E_F): 0.96 states/eV per atom
- Volume: 17.0 Å³ per atom
- Excess energy over the best structure of this formula in the dataset: 0.000 eV/atom
- Raw formation energy: 0.375 eV per atom